1.
DFT (PBE-GGA) results for BaMn3Pb after structural relaxation.

Results
Energy relative to the lowest polymorph listed for this composition = 0.00 eV per formula unit
Magnetization = 2.274 μB/atom
Calculated density = 5.74 g/cm3
V = 29.5 Å³/atom
Energy relative to the elements = 0.8750 eV/atom
VASP energy = -5.753 eV/atom

Cell lengths 5.2833, 5.2833, 5.2833 Å; angles 90.00, 90.00, 90.00 degrees
With the nearest neighbours (Å) after each atom.
Space group Pm-3m (No. 221)
One atom of each set of equivalent atoms:
Ba 0.0000 0.0000 0.0000  12 Mn 3.74
Mn 0.0000 0.5000 0.5000  2 Pb 2.64
Pb 0.5000 0.5000 0.5000  6 Mn 2.64

2.
DFT (PBE-GGA) results for MgSbBr2 after structural relaxation.

Results
Energy relative to the lowest polymorph listed for this composition = 2.69 eV per formula unit
Magnetization = 0.000 μB/atom
Calculated density = 4.82 g/cm3
V = 26.3 Å³/atom
Uncorrected formation energy = -0.0917 eV/atom
VASP energy = -2.357 eV/atom

Cell lengths 4.9104, 4.9104, 4.3666 Å; angles 90.00, 90.00, 90.00 degrees
With the nearest neighbours (Å) after each atom.
Space group P4/mmm (No. 123)
One atom of each set of equivalent atoms:
Mg 0.0000 0.0000 0.0000  8 Br 3.29, 4 Sb 3.47
Sb 0.5000 0.5000 0.0000  8 Br 3.29, 4 Mg 3.47
Br 0.0000 0.5000 0.5000  4 Sb 3.29, 4 Mg 3.29, 4 Br 3.47

3.
DFT (PBE-GGA) results for Ce3As4Rh4 after structural relaxation.

Results
Energy relative to the lowest polymorph listed for this composition = 0.07 eV per formula unit
Magnetization = 0.138 μB/atom
Calculated density = 8.71 g/cm3
V = 19.6 Å³/atom
Energy relative to the elements = -1.0347 eV/atom
VASP energy = -7.017 eV/atom

Cell lengths 3.9766, 4.1772, 25.9625 Å; angles 90.00, 90.00, 90.00 degrees
With the nearest neighbours (Å) after each atom.
Space group Immm (No. 71)
One atom of each set of equivalent atoms:
Ce 0.0000 0.0000 0.0000  8 As 3.18, 4 Rh 3.28
Ce 0.0000 0.5000 0.1451  8 Rh 3.11-3.44, 6 As 3.14-3.15
As 0.0000 0.0000 0.4487  2 Rh 2.45, 1 As 2.66
As 0.0000 0.5000 0.3059  5 Rh 2.43-2.54
Rh 0.0000 0.0000 0.2504  4 As 2.47-2.54
Rh 0.0000 0.5000 0.3995  3 As 2.43-2.45